(1)
Density functional theory data (GGA-PBE) for a relaxed structure of ZnRe3Hg.

The energy of formation comes out at 3314 meV/atom. Its uncorrected energy is -22.4 eV per formula unit.

It has space group Pm-3m (No. 221), with a = 4.926 Å, b = 4.926 Å, c = 4.926 Å, α = 90.00°, β = 90.00° and γ = 90.00°. The inequivalent atoms are Zn at (0.000, 0.000, 0.000), Re at (0.000, 0.500, 0.500) and Hg at (0.500, 0.500, 0.500).

(2)
Density functional theory data (GGA-PBE) for a relaxed structure of ZrReHg2.

The energy of formation comes out at 272 meV/atom. Its uncorrected energy is -20.5 eV per formula unit.

It has space group P4mm (No. 99), with a = 3.485 Å, b = 3.485 Å, c = 6.657 Å, α = 90.00°, β = 90.00° and γ = 90.00°. The inequivalent atoms are Zr at (0.000, 0.000, 0.000), Re at (0.500, 0.500, 0.810), Hg at (0.000, 0.000, 0.549) and Hg at (0.500, 0.500, 0.286).

(3)
Density functional theory data (GGA-PBE) for a relaxed structure of Zr3Re2Hg.

The energy of formation comes out at -240 meV/atom. Its uncorrected energy is -52.3 eV per formula unit.

It has space group P4/mmm (No. 123), with a = 3.338 Å, b = 3.338 Å, c = 10.502 Å, α = 90.00°, β = 90.00° and γ = 90.00°. The inequivalent atoms are Zr at (0.000, 0.000, 0.000), Zr at (0.000, 0.000, 0.307), Re at (0.500, 0.500, 0.161) and Hg at (0.500, 0.500, 0.500).

(4)
Density functional theory data (GGA-PBE) for a relaxed structure of ZrReHg2.

The energy of formation comes out at 482 meV/atom. Its uncorrected energy is -19.7 eV per formula unit.

It has space group R-3m (No. 166, hexagonal axes), with a = 3.0009 Å, b = 3.0009 Å, c = 29.9610 Å, α = 90.00°, β = 90.00° and γ = 120.00°. The inequivalent atoms are Zr at (0.0000, 0.0000, 0.0000), Re at (0.0000, 0.0000, 0.5000) and Hg at (0.0000, 0.0000, 0.2464).